(A)
Density functional theory data (GGA-PBE) for crystalline Zr3ReBr at its relaxed geometry.

Calculated values
Size of the total moment (μB per formula unit): 0.5
Symmetry: Pm-3m (221)

Unit cell a=4.864 b=4.864 c=4.864 alpha=90.00 beta=90.00 gamma=90.00
Atoms (fractional coordinates):
Zr  0.000  0.000  0.500
Zr  0.000  0.500  0.000
Zr  0.500  0.000  0.000
Re  0.500  0.500  0.500
Br  0.000  0.000  0.000

(B)
Density functional theory data (GGA-PBE) for crystalline Zr3ReBr at its relaxed geometry.

Calculated values
Size of the total moment (μB per formula unit): 0.0
Symmetry: Pm-3m (221)

Unit cell a=5.142 b=5.142 c=5.142 alpha=90.00 beta=90.00 gamma=90.00
Atoms (fractional coordinates):
Zr  0.000  0.000  0.500
Zr  0.000  0.500  0.000
Zr  0.500  0.000  0.000
Re  0.000  0.000  0.000
Br  0.500  0.500  0.500

Relative energies, in meV per atom, with the most stable structure set to zero: (A) 387; (B) 0.

(A)
Density functional theory data (GGA-PBE) for crystalline RhBr5 at its relaxed geometry.

Calculated values
Size of the total moment (μB per formula unit): 1.6
Symmetry: P-62m (189)

Unit cell a=5.120 b=5.120 c=7.719 alpha=90.00 beta=90.00 gamma=120.00
Atoms (fractional coordinates):
Rh  0.000  0.000  0.000
Br  0.000  0.679  0.500
Br  0.321  0.321  0.500
Br  0.333  0.667  0.000
Br  0.667  0.333  0.000
Br  0.679  0.000  0.500

(B)
Density functional theory data (GGA-PBE) for crystalline RhBr5 at its relaxed geometry.

Calculated values
Size of the total moment (μB per formula unit): 0.7
Symmetry: P4/mmm (123)

Unit cell a=3.099 b=3.099 c=18.792 alpha=90.00 beta=90.00 gamma=90.00
Atoms (fractional coordinates):
Rh  0.000  0.000  0.000
Br  0.000  0.000  0.280
Br  0.000  0.000  0.720
Br  0.500  0.500  0.087
Br  0.500  0.500  0.500
Br  0.500  0.500  0.913

Relative energies, in meV per atom, with the most stable structure set to zero: (A) 227; (B) 0.

(A)
Density functional theory data (GGA-PBE) for crystalline RhBr5 at its relaxed geometry.

Calculated values
Size of the total moment (μB per formula unit): 2.2
Symmetry: F-43m (216)

Unit cell a=6.116 b=6.116 c=6.116 alpha=60.00 beta=60.00 gamma=60.00
Atoms (fractional coordinates):
Rh  0.000  0.000  0.000
Br  0.375  0.375  0.375
Br  0.375  0.375  0.874
Br  0.375  0.874  0.375
Br  0.750  0.750  0.750
Br  0.874  0.375  0.375

(B)
Density functional theory data (GGA-PBE) for crystalline RhBr5 at its relaxed geometry.

Calculated values
Size of the total moment (μB per formula unit): 1.1
Symmetry: Cm (8)

Unit cell a=6.857 b=6.857 c=9.498 alpha=116.03 beta=116.03 gamma=31.22
Atoms (fractional coordinates):
Rh  0.000  0.000  0.000
Br  0.035  0.035  0.501
Br  0.368  0.368  0.499
Br  0.378  0.378  0.003
Br  0.622  0.622  0.997
Br  0.702  0.702  0.501

Relative energies, in meV per atom, with the most stable structure set to zero: (A) 911; (B) 0.

(A)
Density functional theory data (GGA-PBE) for crystalline RuRh2Br at its relaxed geometry.

Calculated values
Size of the total moment (μB per formula unit): 0.0
Symmetry: Cm (8)

Unit cell a=4.513 b=4.513 c=6.590 alpha=98.41 beta=98.41 gamma=36.87
Atoms (fractional coordinates):
Ru  0.000  0.000  0.000
Rh  0.259  0.259  0.853
Rh  0.515  0.515  0.672
Br  0.596  0.596  0.320

(B)
Density functional theory data (GGA-PBE) for crystalline RuRh2Br at its relaxed geometry.

Calculated values
Size of the total moment (μB per formula unit): 0.0
Symmetry: P4/mmm (123)

Unit cell a=3.873 b=3.873 c=4.116 alpha=90.00 beta=90.00 gamma=90.00
Atoms (fractional coordinates):
Ru  0.000  0.000  0.000
Rh  0.000  0.500  0.500
Rh  0.500  0.000  0.500
Br  0.500  0.500  0.000

(C)
Density functional theory data (GGA-PBE) for crystalline RuRh2Br at its relaxed geometry.

Calculated values
Size of the total moment (μB per formula unit): 1.2
Symmetry: Cmmm (65)

Unit cell a=2.838 b=2.838 c=9.345 alpha=90.00 beta=90.00 gamma=121.00
Atoms (fractional coordinates):
Ru  0.000  0.000  0.000
Rh  0.500  0.500  0.237
Rh  0.500  0.500  0.763
Br  0.000  0.000  0.500

(D)
Density functional theory data (GGA-PBE) for crystalline RuRh2Br at its relaxed geometry.

Calculated values
Size of the total moment (μB per formula unit): 1.1
Symmetry: Immm (71)

Unit cell a=5.348 b=5.348 c=5.348 alpha=148.74 beta=128.17 gamma=61.79
Atoms (fractional coordinates):
Ru  0.000  0.000  0.000
Rh  0.254  0.754  0.500
Rh  0.746  0.246  0.500
Br  0.500  0.500  0.000

Relative energies, in meV per atom, with the most stable structure set to zero: (A) 0; (B) 342; (C) 106; (D) 150.

(A)
Density functional theory data (GGA-PBE) for crystalline RuRh2Br at its relaxed geometry.

Calculated values
Size of the total moment (μB per formula unit): 0.0
Symmetry: I4/mmm (139)

Unit cell a=4.755 b=4.755 c=4.755 alpha=129.81 beta=129.81 gamma=73.71
Atoms (fractional coordinates):
Ru  0.000  0.000  0.000
Rh  0.250  0.750  0.500
Rh  0.750  0.250  0.500
Br  0.500  0.500  0.000

(B)
Density functional theory data (GGA-PBE) for crystalline RuRh2Br at its relaxed geometry.

Calculated values
Size of the total moment (μB per formula unit): 1.3
Symmetry: Pmmm (47)

Unit cell a=2.875 b=4.641 c=4.658 alpha=90.00 beta=90.00 gamma=90.00
Atoms (fractional coordinates):
Ru  0.000  0.000  0.000
Rh  0.000  0.500  0.500
Rh  0.500  0.500  0.000
Br  0.500  0.000  0.500

Relative energies, in meV per atom, with the most stable structure set to zero: (A) 54; (B) 0.

(A)
Density functional theory data (GGA-PBE) for crystalline RuRhBr2 at its relaxed geometry.

Calculated values
Size of the total moment (μB per formula unit): 0.0
Symmetry: Cm (8)

Unit cell a=6.541 b=6.541 c=4.410 alpha=91.65 beta=91.65 gamma=27.31
Atoms (fractional coordinates):
Ru  0.000  0.000  0.000
Rh  0.661  0.661  0.132
Br  0.313  0.313  0.968
Br  0.524  0.524  0.522

(B)
Density functional theory data (GGA-PBE) for crystalline RuRhBr2 at its relaxed geometry.

Calculated values
Size of the total moment (μB per formula unit): 2.8
Symmetry: I-4m2 (119)

Unit cell a=6.153 b=6.153 c=6.153 alpha=144.77 beta=144.77 gamma=50.68
Atoms (fractional coordinates):
Ru  0.000  0.000  0.000
Rh  0.750  0.250  0.500
Br  0.250  0.750  0.500
Br  0.500  0.500  0.000

(C)
Density functional theory data (GGA-PBE) for crystalline RuRhBr2 at its relaxed geometry.

Calculated values
Size of the total moment (μB per formula unit): 1.3
Symmetry: Pmmm (47)

Unit cell a=3.068 b=4.218 c=5.834 alpha=90.00 beta=90.00 gamma=90.00
Atoms (fractional coordinates):
Ru  0.000  0.000  0.000
Rh  0.500  0.000  0.500
Br  0.000  0.500  0.500
Br  0.500  0.500  0.000

Relative energies, in meV per atom, with the most stable structure set to zero: (A) 0; (B) 312; (C) 232.

(A)
Density functional theory data (GGA-PBE) for crystalline RuRhBr2 at its relaxed geometry.

Calculated values
Size of the total moment (μB per formula unit): 0.0
Symmetry: Cmmm (65)

Unit cell a=3.253 b=3.253 c=8.491 alpha=90.00 beta=90.00 gamma=124.06
Atoms (fractional coordinates):
Ru  0.000  0.000  0.000
Rh  0.000  0.000  0.500
Br  0.500  0.500  0.244
Br  0.500  0.500  0.756

(B)
Density functional theory data (GGA-PBE) for crystalline RuRhBr2 at its relaxed geometry.

Calculated values
Size of the total moment (μB per formula unit): 0.0
Symmetry: R-3m (166)

Unit cell a=8.097 b=8.097 c=8.097 alpha=22.87 beta=22.87 gamma=22.87
Atoms (fractional coordinates):
Ru  0.000  0.000  0.000
Rh  0.500  0.500  0.500
Br  0.253  0.253  0.253
Br  0.747  0.747  0.747

Relative energies, in meV per atom, with the most stable structure set to zero: (A) 126; (B) 0.

(A)
Density functional theory data (GGA-PBE) for crystalline Ru2RhBr at its relaxed geometry.

Calculated values
Size of the total moment (μB per formula unit): 0.0
Symmetry: C2/m (12)

Unit cell a=4.624 b=4.624 c=5.092 alpha=102.68 beta=102.68 gamma=36.28
Atoms (fractional coordinates):
Ru  0.246  0.246  0.280
Ru  0.754  0.754  0.720
Rh  0.000  0.000  0.500
Br  0.500  0.500  0.000

(B)
Density functional theory data (GGA-PBE) for crystalline Ru2RhBr at its relaxed geometry.

Calculated values
Size of the total moment (μB per formula unit): 0.0
Symmetry: I-4m2 (119)

Unit cell a=4.690 b=4.690 c=4.690 alpha=128.75 beta=128.75 gamma=75.41
Atoms (fractional coordinates):
Ru  0.000  0.000  0.000
Ru  0.750  0.250  0.500
Rh  0.500  0.500  0.000
Br  0.250  0.750  0.500

(C)
Density functional theory data (GGA-PBE) for crystalline Ru2RhBr at its relaxed geometry.

Calculated values
Size of the total moment (μB per formula unit): 0.0
Symmetry: Pmm2 (25)

Unit cell a=2.812 b=3.539 c=6.978 alpha=90.00 beta=90.00 gamma=90.00
Atoms (fractional coordinates):
Ru  0.000  0.000  0.000
Ru  0.500  0.500  0.178
Rh  0.500  0.500  0.798
Br  0.500  0.000  0.478

Relative energies, in meV per atom, with the most stable structure set to zero: (A) 227; (B) 371; (C) 0.

(A)
Density functional theory data (GGA-PBE) for crystalline Ru2RhBr at its relaxed geometry.

Calculated values
Size of the total moment (μB per formula unit): 1.6
Symmetry: P4/mmm (123)

Unit cell a=4.610 b=4.610 c=2.887 alpha=90.00 beta=90.00 gamma=90.00
Atoms (fractional coordinates):
Ru  0.000  0.500  0.000
Ru  0.500  0.000  0.000
Rh  0.000  0.000  0.500
Br  0.500  0.500  0.500

(B)
Density functional theory data (GGA-PBE) for crystalline Ru2RhBr at its relaxed geometry.

Calculated values
Size of the total moment (μB per formula unit): 1.5
Symmetry: Cmm2 (35)

Unit cell a=2.826 b=2.826 c=9.322 alpha=90.00 beta=90.00 gamma=120.48
Atoms (fractional coordinates):
Ru  0.000  0.000  0.000
Ru  0.500  0.500  0.234
Rh  0.500  0.500  0.760
Br  0.000  0.000  0.493

Relative energies, in meV per atom, with the most stable structure set to zero: (A) 73; (B) 0.

(A)
Density functional theory data (GGA-PBE) for crystalline Ru2RhBr at its relaxed geometry.

Calculated values
Size of the total moment (μB per formula unit): 0.0
Symmetry: Cm (8)

Unit cell a=4.768 b=4.768 c=4.879 alpha=103.45 beta=103.45 gamma=35.29
Atoms (fractional coordinates):
Ru  0.000  0.000  0.000
Ru  0.745  0.745  0.205
Rh  0.506  0.506  0.461
Br  0.278  0.278  0.682

(B)
Density functional theory data (GGA-PBE) for crystalline Ru2RhBr at its relaxed geometry.

Calculated values
Size of the total moment (μB per formula unit): 0.0
Symmetry: P2/m (10)

Unit cell a=2.941 b=4.122 c=5.251 alpha=90.00 beta=105.12 gamma=90.00
Atoms (fractional coordinates):
Ru  0.132  0.000  0.252
Ru  0.868  0.000  0.748
Rh  0.500  0.500  0.000
Br  0.500  0.500  0.500

Relative energies, in meV per atom, with the most stable structure set to zero: (A) 0; (B) 23.

(A)
Density functional theory data (GGA-PBE) for crystalline Ru2RhBr at its relaxed geometry.

Calculated values
Size of the total moment (μB per formula unit): 1.9
Symmetry: Cmmm (65)

Unit cell a=2.834 b=2.834 c=9.224 alpha=90.00 beta=90.00 gamma=120.49
Atoms (fractional coordinates):
Ru  0.000  0.000  0.242
Ru  0.000  0.000  0.758
Rh  0.500  0.500  0.000
Br  0.500  0.500  0.500

(B)
Density functional theory data (GGA-PBE) for crystalline Ru2RhBr at its relaxed geometry.

Calculated values
Size of the total moment (μB per formula unit): 0.0
Symmetry: P4mm (99)

Unit cell a=2.872 b=2.872 c=7.601 alpha=90.00 beta=90.00 gamma=90.00
Atoms (fractional coordinates):
Ru  0.000  0.000  0.000
Ru  0.500  0.500  0.220
Rh  0.500  0.500  0.757
Br  0.000  0.000  0.477

(C)
Density functional theory data (GGA-PBE) for crystalline Ru2RhBr at its relaxed geometry.

Calculated values
Size of the total moment (μB per formula unit): 0.0
Symmetry: P2/m (10)

Unit cell a=4.673 b=2.873 c=4.780 alpha=90.00 beta=108.34 gamma=90.00
Atoms (fractional coordinates):
Ru  0.000  0.000  0.000
Ru  0.000  0.500  0.500
Rh  0.500  0.000  0.500
Br  0.500  0.500  0.000

(D)
Density functional theory data (GGA-PBE) for crystalline Ru2RhBr at its relaxed geometry.

Calculated values
Size of the total moment (μB per formula unit): 0.0
Symmetry: Pmmm (47)

Unit cell a=2.834 b=4.642 c=4.693 alpha=90.00 beta=90.00 gamma=90.00
Atoms (fractional coordinates):
Ru  0.000  0.000  0.000
Ru  0.500  0.500  0.000
Rh  0.000  0.500  0.500
Br  0.500  0.000  0.500

Relative energies, in meV per atom, with the most stable structure set to zero: (A) 316; (B) 0; (C) 277; (D) 310.

(A)
Density functional theory data (GGA-PBE) for crystalline Ru2RhBr at its relaxed geometry.

Calculated values
Size of the total moment (μB per formula unit): 0.0
Symmetry: R3m (160)

Unit cell a=8.799 b=8.799 c=8.799 alpha=18.82 beta=18.82 gamma=18.82
Atoms (fractional coordinates):
Ru  0.000  0.000  0.000
Ru  0.255  0.255  0.255
Rh  0.749  0.749  0.749
Br  0.504  0.504  0.504

(B)
Density functional theory data (GGA-PBE) for crystalline Ru2RhBr at its relaxed geometry.

Calculated values
Size of the total moment (μB per formula unit): 0.0
Symmetry: I-42d (122)

Unit cell a=6.398 b=6.398 c=6.398 alpha=124.66 beta=124.66 gamma=82.11
Atoms (fractional coordinates):
Ru  0.116  0.625  0.991
Ru  0.375  0.366  0.491
Ru  0.634  0.125  0.009
Ru  0.875  0.884  0.509
Rh  0.000  0.000  0.000
Rh  0.750  0.250  0.500
Br  0.250  0.750  0.500
Br  0.500  0.500  0.000

Relative energies, in meV per atom, with the most stable structure set to zero: (A) 0; (B) 604.